Entry from Alexandria: a geometry-optimized LiMgCl2 structure (PBE).

Cell lengths 3.5270, 3.6522, 7.2827 Å; angles 105.28, 90.00, 90.00 degrees
Closest atoms and distances in Å follow each position.
Element x y z (fractional)
Cl 0.0000 0.8926 0.0322  2 Li 2.50, 2 Mg 2.65
Cl 0.0000 0.6074 0.4678  2 Li 2.50, 2 Mg 2.65
Li 0.5000 0.2500 0.2500  4 Cl 2.50
Mg 0.5000 0.7500 0.7500  4 Cl 2.65

Calculated values
size of the total moment: 0.82 μB/f.u.
DFT total energy: -0.1102 hartree per atom
raw formation energy: -1.198 eV per atom